(1)
# PmMgCo (PBE-GGA, relaxed)
data_PmMgCo
_chemical_formula_sum 'Pm2 Mg2 Co2'
_symmetry_space_group_name_H-M 'P -1'
_symmetry_Int_Tables_number 2
_symmetry_space_group_name_Hall '-P 1'
_cell_length_a 4.159
_cell_length_b 5.607
_cell_length_c 6.394
_cell_angle_alpha 74.36
_cell_angle_beta 71.15
_cell_angle_gamma 68.23
loop_
_atom_site_label
_atom_site_fract_x
_atom_site_fract_y
_atom_site_fract_z
_atom_site_occupancy
Pm1 0.077 0.181 0.164 1
Mg1 0.310 0.300 0.581 1
Co1 0.374 0.600 0.149 1
# formation energy	-101	meV per atom
# crystal system	triclinic
# E above lowest polymorph	0.011	eV per atom

---

(2)
# Pm7Mg2Co2 (PBE-GGA, relaxed)
data_Pm7Mg2Co2
_chemical_formula_sum 'Pm14 Mg4 Co4'
_symmetry_space_group_name_H-M 'I m m 2'
_symmetry_Int_Tables_number 44
_symmetry_space_group_name_Hall 'I 2 -2'
_cell_length_a 3.653
_cell_length_b 17.383
_cell_length_c 9.895
_cell_angle_alpha 90.00
_cell_angle_beta 90.00
_cell_angle_gamma 90.00
loop_
_atom_site_label
_atom_site_fract_x
_atom_site_fract_y
_atom_site_fract_z
_atom_site_occupancy
Pm1 0.000 0.000 0.000 1
Pm2 0.000 0.153 0.430 1
Pm3 0.000 0.322 0.624 1
Pm4 0.000 0.350 0.268 1
Mg1 0.000 0.000 0.633 1
Mg2 0.000 0.500 0.800 1
Co1 0.000 0.228 0.931 1
# formation energy	-38	meV per atom
# crystal system	orthorhombic

---

(3)
# Pm2MgCo (PBE-GGA, relaxed)
data_Pm2MgCo
_chemical_formula_sum 'Pm8 Mg4 Co4'
_symmetry_space_group_name_H-M 'F m -3 m'
_symmetry_Int_Tables_number 225
_symmetry_space_group_name_Hall '-F 4 2 3'
_cell_length_a 7.295
_cell_length_b 7.295
_cell_length_c 7.295
_cell_angle_alpha 90.00
_cell_angle_beta 90.00
_cell_angle_gamma 90.00
loop_
_atom_site_label
_atom_site_fract_x
_atom_site_fract_y
_atom_site_fract_z
_atom_site_occupancy
Pm1 0.250 0.250 0.250 1
Mg1 0.000 0.000 0.000 1
Co1 0.000 0.000 0.500 1
# formation energy	62	meV per atom
# crystal system	cubic
# E above lowest polymorph	0.165	eV per atom

---

(4)
# Pm5Mg2Co2 (PBE-GGA, relaxed)
data_Pm5Mg2Co2
_chemical_formula_sum 'Pm20 Mg8 Co8'
_symmetry_space_group_name_H-M 'C m c e'
_symmetry_Int_Tables_number 64
_symmetry_space_group_name_Hall '-C 2ac 2'
_cell_length_a 17.207
_cell_length_b 7.364
_cell_length_c 7.647
_cell_angle_alpha 90.00
_cell_angle_beta 90.00
_cell_angle_gamma 90.00
loop_
_atom_site_label
_atom_site_fract_x
_atom_site_fract_y
_atom_site_fract_z
_atom_site_occupancy
Pm1 0.000 0.000 0.000 1
Pm2 0.113 0.188 0.309 1
Mg1 0.230 0.000 0.000 1
Co1 0.000 0.108 0.612 1
# formation energy	-33	meV per atom
# crystal system	orthorhombic

---

(5)
# PmMgCo (PBE-GGA, relaxed)
data_PmMgCo
_chemical_formula_sum 'Pm2 Mg2 Co2'
_symmetry_space_group_name_H-M 'I 4 m m'
_symmetry_Int_Tables_number 107
_symmetry_space_group_name_Hall 'I 4 -2'
_cell_length_a 3.304
_cell_length_b 3.304
_cell_length_c 11.696
_cell_angle_alpha 90.00
_cell_angle_beta 90.00
_cell_angle_gamma 90.00
loop_
_atom_site_label
_atom_site_fract_x
_atom_site_fract_y
_atom_site_fract_z
_atom_site_occupancy
Pm1 0.000 0.000 0.000 1
Mg1 0.000 0.000 0.734 1
Co1 0.000 0.000 0.359 1
# formation energy	40	meV per atom
# crystal system	tetragonal
# E above lowest polymorph	0.152	eV per atom

---

(6)
# Pm12MgCo5 (PBE-GGA, relaxed)
data_Pm12MgCo5
_chemical_formula_sum 'Pm24 Mg2 Co10'
_symmetry_space_group_name_H-M 'I m m m'
_symmetry_Int_Tables_number 71
_symmetry_space_group_name_Hall '-I 2 2'
_cell_length_a 9.742
_cell_length_b 9.867
_cell_length_c 10.029
_cell_angle_alpha 90.00
_cell_angle_beta 90.00
_cell_angle_gamma 90.00
loop_
_atom_site_label
_atom_site_fract_x
_atom_site_fract_y
_atom_site_fract_z
_atom_site_occupancy
Pm1 0.000 0.192 0.199 1
Pm2 0.192 0.500 0.185 1
Pm3 0.203 0.317 0.500 1
Mg1 0.000 0.000 0.500 1
Co1 0.000 0.000 0.000 1
Co2 0.000 0.381 0.000 1
Co3 0.000 0.500 0.388 1
# formation energy	-92	meV per atom
# crystal system	orthorhombic

---

(7)
# Pm3MgCo (PBE-GGA, relaxed)
data_Pm3MgCo
_chemical_formula_sum 'Pm6 Mg2 Co2'
_symmetry_space_group_name_H-M 'P -1'
_symmetry_Int_Tables_number 2
_symmetry_space_group_name_Hall '-P 1'
_cell_length_a 6.107
_cell_length_b 7.098
_cell_length_c 7.103
_cell_angle_alpha 70.73
_cell_angle_beta 76.10
_cell_angle_gamma 76.41
loop_
_atom_site_label
_atom_site_fract_x
_atom_site_fract_y
_atom_site_fract_z
_atom_site_occupancy
Pm1 0.203 0.093 0.088 1
Pm2 0.267 0.159 0.568 1
Pm3 0.269 0.570 0.160 1
Mg1 0.239 0.635 0.638 1
Co1 0.435 0.814 0.813 1
# formation energy	-49	meV per atom
# crystal system	triclinic
# E above lowest polymorph	0.000	eV per atom

---

(8)
# PmMgCo (PBE-GGA, relaxed)
data_PmMgCo
_chemical_formula_sum 'Pm4 Mg4 Co4'
_symmetry_space_group_name_H-M 'C m c m'
_symmetry_Int_Tables_number 63
_symmetry_space_group_name_Hall '-C 2c 2'
_cell_length_a 4.017
_cell_length_b 17.285
_cell_length_c 3.890
_cell_angle_alpha 90.00
_cell_angle_beta 90.00
_cell_angle_gamma 90.00
loop_
_atom_site_label
_atom_site_fract_x
_atom_site_fract_y
_atom_site_fract_z
_atom_site_occupancy
Pm1 0.000 0.091 0.250 1
Mg1 0.000 0.297 0.250 1
Co1 0.000 0.465 0.250 1
# formation energy	-112	meV per atom
# crystal system	orthorhombic
# E above lowest polymorph	0.000	eV per atom

---

(9)
# Pm2MgCo (PBE-GGA, relaxed)
data_Pm2MgCo
_chemical_formula_sum 'Pm6 Mg3 Co3'
_symmetry_space_group_name_H-M 'R 3 m'
_symmetry_Int_Tables_number 160
_symmetry_space_group_name_Hall 'R 3 -2"'
_cell_length_a 3.9009
_cell_length_b 3.9009
_cell_length_c 25.6072
_cell_angle_alpha 90.00
_cell_angle_beta 90.00
_cell_angle_gamma 120.00
loop_
_atom_site_label
_atom_site_fract_x
_atom_site_fract_y
_atom_site_fract_z
_atom_site_occupancy
Pm1 0.0000 0.0000 0.0000 1
Pm2 0.0000 0.0000 0.2141 1
Mg1 0.0000 0.0000 0.4407 1
Co1 0.0000 0.0000 0.6064 1
# formation energy	28	meV per atom
# crystal system	trigonal
# E above lowest polymorph	0.131	eV per atom

---

(10)
# Pm7MgCo2 (PBE-GGA, relaxed)
data_Pm7MgCo2
_chemical_formula_sum 'Pm14 Mg2 Co4'
_symmetry_space_group_name_H-M 'C m m m'
_symmetry_Int_Tables_number 65
_symmetry_space_group_name_Hall '-C 2 2'
_cell_length_a 9.147
_cell_length_b 13.713
_cell_length_c 5.099
_cell_angle_alpha 90.00
_cell_angle_beta 90.00
_cell_angle_gamma 90.00
loop_
_atom_site_label
_atom_site_fract_x
_atom_site_fract_y
_atom_site_fract_z
_atom_site_occupancy
Pm1 0.000 0.000 0.000 1
Pm2 0.000 0.204 0.500 1
Pm3 0.183 0.367 0.000 1
Mg1 0.000 0.500 0.500 1
Co1 0.000 0.201 0.000 1
# formation energy	86	meV per atom
# crystal system	orthorhombic

---

(11)
# PmMgCoPt (PBE-GGA, relaxed)
data_PmMgCoPt
_chemical_formula_sum 'Pm4 Mg4 Co4 Pt4'
_symmetry_space_group_name_H-M 'F -4 3 m'
_symmetry_Int_Tables_number 216
_symmetry_space_group_name_Hall 'F -4 2 3'
_cell_length_a 6.704
_cell_length_b 6.704
_cell_length_c 6.704
_cell_angle_alpha 90.00
_cell_angle_beta 90.00
_cell_angle_gamma 90.00
loop_
_atom_site_label
_atom_site_fract_x
_atom_site_fract_y
_atom_site_fract_z
_atom_site_occupancy
Pm1 0.000 0.000 0.000 1
Mg1 0.000 0.000 0.500 1
Co1 0.250 0.250 0.250 1
Pt1 0.250 0.250 0.750 1
# formation energy	-390	meV per atom
# crystal system	cubic

---

(12)
# PmMgCoRh (PBE-GGA, relaxed)
data_PmMgCoRh
_chemical_formula_sum 'Pm4 Mg4 Co4 Rh4'
_symmetry_space_group_name_H-M 'F -4 3 m'
_symmetry_Int_Tables_number 216
_symmetry_space_group_name_Hall 'F -4 2 3'
_cell_length_a 6.588
_cell_length_b 6.588
_cell_length_c 6.588
_cell_angle_alpha 90.00
_cell_angle_beta 90.00
_cell_angle_gamma 90.00
loop_
_atom_site_label
_atom_site_fract_x
_atom_site_fract_y
_atom_site_fract_z
_atom_site_occupancy
Pm1 0.000 0.000 0.000 1
Mg1 0.000 0.000 0.500 1
Co1 0.250 0.250 0.250 1
Rh1 0.250 0.250 0.750 1
# formation energy	-217	meV per atom
# crystal system	cubic

---

(13)
# PmSmMgCo (PBE-GGA, relaxed)
data_PmSmMgCo
_chemical_formula_sum 'Pm4 Sm4 Mg4 Co4'
_symmetry_space_group_name_H-M 'F -4 3 m'
_symmetry_Int_Tables_number 216
_symmetry_space_group_name_Hall 'F -4 2 3'
_cell_length_a 7.277
_cell_length_b 7.277
_cell_length_c 7.277
_cell_angle_alpha 90.00
_cell_angle_beta 90.00
_cell_angle_gamma 90.00
loop_
_atom_site_label
_atom_site_fract_x
_atom_site_fract_y
_atom_site_fract_z
_atom_site_occupancy
Pm1 0.000 0.000 0.000 1
Sm1 0.000 0.000 0.500 1
Mg1 0.250 0.250 0.250 1
Co1 0.250 0.250 0.750 1
# formation energy	56	meV per atom
# crystal system	cubic

---

(14)
# PmMgCoSn (PBE-GGA, relaxed)
data_PmMgCoSn
_chemical_formula_sum 'Pm4 Mg4 Co4 Sn4'
_symmetry_space_group_name_H-M 'F -4 3 m'
_symmetry_Int_Tables_number 216
_symmetry_space_group_name_Hall 'F -4 2 3'
_cell_length_a 6.791
_cell_length_b 6.791
_cell_length_c 6.791
_cell_angle_alpha 90.00
_cell_angle_beta 90.00
_cell_angle_gamma 90.00
loop_
_atom_site_label
_atom_site_fract_x
_atom_site_fract_y
_atom_site_fract_z
_atom_site_occupancy
Pm1 0.000 0.000 0.000 1
Mg1 0.250 0.250 0.750 1
Co1 0.250 0.250 0.250 1
Sn1 0.000 0.000 0.500 1
# formation energy	-191	meV per atom
# crystal system	cubic

---

(15)
# PmTmMgCo (PBE-GGA, relaxed)
data_PmTmMgCo
_chemical_formula_sum 'Pm4 Tm4 Mg4 Co4'
_symmetry_space_group_name_H-M 'F -4 3 m'
_symmetry_Int_Tables_number 216
_symmetry_space_group_name_Hall 'F -4 2 3'
_cell_length_a 7.147
_cell_length_b 7.147
_cell_length_c 7.147
_cell_angle_alpha 90.00
_cell_angle_beta 90.00
_cell_angle_gamma 90.00
loop_
_atom_site_label
_atom_site_fract_x
_atom_site_fract_y
_atom_site_fract_z
_atom_site_occupancy
Pm1 0.000 0.000 0.000 1
Tm1 0.000 0.000 0.500 1
Mg1 0.250 0.250 0.250 1
Co1 0.250 0.250 0.750 1
# formation energy	17	meV per atom
# crystal system	cubic

---

(16)
# PrMgCo (PBE-GGA, relaxed)
data_PrMgCo
_chemical_formula_sum 'Pr2 Mg2 Co2'
_symmetry_space_group_name_H-M 'I 4 m m'
_symmetry_Int_Tables_number 107
_symmetry_space_group_name_Hall 'I 4 -2'
_cell_length_a 3.335
_cell_length_b 3.335
_cell_length_c 11.846
_cell_angle_alpha 90.00
_cell_angle_beta 90.00
_cell_angle_gamma 90.00
loop_
_atom_site_label
_atom_site_fract_x
_atom_site_fract_y
_atom_site_fract_z
_atom_site_occupancy
Pr1 0.000 0.000 0.000 1
Mg1 0.000 0.000 0.735 1
Co1 0.000 0.000 0.356 1
# formation energy	82	meV per atom
# crystal system	tetragonal

---

(17)
# Pr6MgCo2 (PBE-GGA, relaxed)
data_Pr6MgCo2
_chemical_formula_sum 'Pr24 Mg4 Co8'
_symmetry_space_group_name_H-M 'I m m m'
_symmetry_Int_Tables_number 71
_symmetry_space_group_name_Hall '-I 2 2'
_cell_length_a 9.733
_cell_length_b 10.149
_cell_length_c 10.386
_cell_angle_alpha 90.00
_cell_angle_beta 90.00
_cell_angle_gamma 90.00
loop_
_atom_site_label
_atom_site_fract_x
_atom_site_fract_y
_atom_site_fract_z
_atom_site_occupancy
Pr1 0.000 0.204 0.234 1
Pr2 0.185 0.500 0.180 1
Pr3 0.215 0.318 0.500 1
Mg1 0.000 0.000 0.000 1
Mg2 0.000 0.000 0.500 1
Co1 0.000 0.325 0.000 1
Co2 0.000 0.500 0.389 1
# formation energy	-55	meV per atom
# crystal system	orthorhombic
# E above lowest polymorph	0.000	eV per atom

---

(18)
# Pr5MgCo2 (PBE-GGA, relaxed)
data_Pr5MgCo2
_chemical_formula_sum 'Pr10 Mg2 Co4'
_symmetry_space_group_name_H-M 'I m m m'
_symmetry_Int_Tables_number 71
_symmetry_space_group_name_Hall '-I 2 2'
_cell_length_a 4.119
_cell_length_b 7.370
_cell_length_c 15.218
_cell_angle_alpha 90.00
_cell_angle_beta 90.00
_cell_angle_gamma 90.00
loop_
_atom_site_label
_atom_site_fract_x
_atom_site_fract_y
_atom_site_fract_z
_atom_site_occupancy
Pr1 0.000 0.000 0.000 1
Pr2 0.000 0.246 0.346 1
Mg1 0.000 0.500 0.000 1
Co1 0.000 0.000 0.190 1
# formation energy	10	meV per atom
# crystal system	orthorhombic

---

(19)
# Pr12MgCo6 (PBE-GGA, relaxed)
data_Pr12MgCo6
_chemical_formula_sum 'Pr24 Mg2 Co12'
_symmetry_space_group_name_H-M 'I m -3'
_symmetry_Int_Tables_number 204
_symmetry_space_group_name_Hall '-I 2 2 3'
_cell_length_a 10.128
_cell_length_b 10.128
_cell_length_c 10.128
_cell_angle_alpha 90.00
_cell_angle_beta 90.00
_cell_angle_gamma 90.00
loop_
_atom_site_label
_atom_site_fract_x
_atom_site_fract_y
_atom_site_fract_z
_atom_site_occupancy
Pr1 0.000 0.194 0.308 1
Mg1 0.000 0.000 0.000 1
Co1 0.000 0.390 0.500 1
# formation energy	-67	meV per atom
# crystal system	cubic

---

(20)
# PrMgCo (PBE-GGA, relaxed)
data_PrMgCo
_chemical_formula_sum 'Pr4 Mg4 Co4'
_symmetry_space_group_name_H-M 'F -4 3 m'
_symmetry_Int_Tables_number 216
_symmetry_space_group_name_Hall 'F -4 2 3'
_cell_length_a 6.573
_cell_length_b 6.573
_cell_length_c 6.573
_cell_angle_alpha 90.00
_cell_angle_beta 90.00
_cell_angle_gamma 90.00
loop_
_atom_site_label
_atom_site_fract_x
_atom_site_fract_y
_atom_site_fract_z
_atom_site_occupancy
Pr1 0.000 0.000 0.000 1
Mg1 0.000 0.000 0.500 1
Co1 0.250 0.250 0.250 1
# formation energy	135	meV per atom
# crystal system	cubic

---

(21)
# Pr3MgCo (PBE-GGA, relaxed)
data_Pr3MgCo
_chemical_formula_sum 'Pr6 Mg2 Co2'
_symmetry_space_group_name_H-M 'P 1'
_symmetry_Int_Tables_number 1
_symmetry_space_group_name_Hall 'P 1'
_cell_length_a 6.178
_cell_length_b 7.187
_cell_length_c 7.194
_cell_angle_alpha 70.67
_cell_angle_beta 76.80
_cell_angle_gamma 76.94
loop_
_atom_site_label
_atom_site_fract_x
_atom_site_fract_y
_atom_site_fract_z
_atom_site_occupancy
Pr1 0.000 0.000 0.000 1
Pr2 0.001 0.411 0.589 1
Pr3 0.458 0.269 0.270 1
Pr4 0.459 0.682 0.861 1
Pr5 0.529 0.748 0.341 1
Pr6 0.930 0.932 0.521 1
Mg1 0.493 0.203 0.791 1
Mg2 0.965 0.479 0.067 1
Co1 0.163 0.654 0.243 1
Co2 0.295 0.027 0.617 1
# formation energy	-34	meV per atom
# crystal system	triclinic
# E above lowest polymorph	0.000	eV per atom

---

(22)
# Pr3Mg3Co2 (PBE-GGA, relaxed)
data_Pr3Mg3Co2
_chemical_formula_sum 'Pr6 Mg6 Co4'
_symmetry_space_group_name_H-M 'C 1 2/m 1'
_symmetry_Int_Tables_number 12
_symmetry_space_group_name_Hall '-C 2y'
_cell_length_a 18.445
_cell_length_b 4.066
_cell_length_c 5.394
_cell_angle_alpha 90.00
_cell_angle_beta 98.06
_cell_angle_gamma 90.00
loop_
_atom_site_label
_atom_site_fract_x
_atom_site_fract_y
_atom_site_fract_z
_atom_site_occupancy
Pr1 0.000 0.000 0.000 1
Pr2 0.166 0.000 0.584 1
Mg1 0.000 0.500 0.500 1
Mg2 0.140 0.500 0.079 1
Co1 0.235 0.000 0.087 1
# formation energy	-46	meV per atom
# crystal system	monoclinic

---

(23)
# Pr2MgCo (PBE-GGA, relaxed)
data_Pr2MgCo
_chemical_formula_sum 'Pr8 Mg4 Co4'
_symmetry_space_group_name_H-M 'C 1 2/m 1'
_symmetry_Int_Tables_number 12
_symmetry_space_group_name_Hall '-C 2y'
_cell_length_a 14.000
_cell_length_b 3.801
_cell_length_c 8.036
_cell_angle_alpha 90.00
_cell_angle_beta 96.04
_cell_angle_gamma 90.00
loop_
_atom_site_label
_atom_site_fract_x
_atom_site_fract_y
_atom_site_fract_z
_atom_site_occupancy
Pr1 0.041 0.000 0.298 1
Pr2 0.227 0.000 0.689 1
Mg1 0.115 0.500 0.952 1
Co1 0.093 0.500 0.583 1
# formation energy	-67	meV per atom
# crystal system	monoclinic
# E above lowest polymorph	0.000	eV per atom

---

(24)
# Pr2MgCo (PBE-GGA, relaxed)
data_Pr2MgCo
_chemical_formula_sum 'Pr2 Mg1 Co1'
_symmetry_space_group_name_H-M 'P 4/m m m'
_symmetry_Int_Tables_number 123
_symmetry_space_group_name_Hall '-P 4 2'
_cell_length_a 3.541
_cell_length_b 3.541
_cell_length_c 8.338
_cell_angle_alpha 90.00
_cell_angle_beta 90.00
_cell_angle_gamma 90.00
loop_
_atom_site_label
_atom_site_fract_x
_atom_site_fract_y
_atom_site_fract_z
_atom_site_occupancy
Pr1 0.000 0.000 0.205 1
Mg1 0.500 0.500 0.500 1
Co1 0.500 0.500 0.000 1
# formation energy	-4	meV per atom
# crystal system	tetragonal
# E above lowest polymorph	0.062	eV per atom